Entry 1:
VASP calculation (PBE) on an optimized crystal structure of ScAuC.

Cell lengths 6.8296, 3.4825, 7.1514 Å; angles 90.00, 90.00, 90.00 degrees
With the nearest neighbours (Å) after each atom.
Fractional coordinates of all 12 atoms:
Au 0.8348 0.2500 0.4513  3 C 2.31-2.41
Au 0.6652 0.7500 0.9513  3 C 2.31-2.41
Au 0.1652 0.7500 0.5487  3 C 2.31-2.41
Au 0.3348 0.2500 0.0487  3 C 2.31-2.41
Sc 0.4667 0.2500 0.6770  3 C 2.28-2.39
Sc 0.5333 0.7500 0.3230  3 C 2.28-2.39
Sc 0.0333 0.7500 0.1770  3 C 2.28-2.39
Sc 0.9667 0.2500 0.8230  3 C 2.28-2.39
C 0.8233 0.2500 0.1278  3 Sc 2.28-2.39, 3 Au 2.31-2.41
C 0.6767 0.7500 0.6278  3 Sc 2.28-2.39, 3 Au 2.31-2.41
C 0.3233 0.2500 0.3722  3 Sc 2.28-2.39, 3 Au 2.31-2.41
C 0.1767 0.7500 0.8722  3 Sc 2.28-2.39, 3 Au 2.31-2.41

Results
Energy relative to the elements, kJ/mol of atoms: 2
ρ, kg/m³: 9916
Spin magnetization, μB per formula unit: 0.0



Entry 2:
VASP calculation (PBE) on an optimized crystal structure of Sc3AuC.

Cell lengths 6.3677, 6.3065, 6.3689 Å; angles 60.32, 91.11, 60.32 degrees
With the nearest neighbours (Å) after each atom.
Fractional coordinates of all 10 atoms:
Au 0.5712 0.3357 0.8309  8 Sc 2.87-3.17
Au 0.0713 0.3368 0.3310  8 Sc 2.87-3.17
C 0.8213 0.8362 0.5810  6 Sc 2.27-2.28
C 0.3213 0.8362 0.0810  6 Sc 2.27-2.28
Sc 0.5175 0.9422 0.2787  2 C 2.28
Sc 0.0174 0.3362 0.7789  2 C 2.28
Sc 0.5711 0.8381 0.8308  2 C 2.27
Sc 0.1250 0.7302 0.8832  2 C 2.28
Sc 0.6252 0.3362 0.3831  2 C 2.28
Sc 0.0715 0.8342 0.3312  2 C 2.27

Results
Energy relative to the elements, kJ/mol of atoms: -63
ρ, kg/m³: 6315
Spin magnetization, μB per formula unit: 0.0



Entry 3:
VASP calculation (PBE) on an optimized crystal structure of Sc3AuC.

Cell lengths 5.1931, 5.1931, 8.5923 Å; angles 72.41, 72.41, 90.00 degrees
With the nearest neighbours (Å) after each atom.
Fractional coordinates of all 10 atoms:
Sc 0.7269 0.7269 0.5461  2 C 2.62, 2 Au 2.88
Sc 0.1019 0.8468 0.7963  1 C 2.06
Sc 0.1532 0.8981 0.2037  1 C 2.06
Sc 0.1019 0.3569 0.7963  1 C 2.06
Sc 0.6431 0.8981 0.2037  1 C 2.06
Sc 0.2731 0.2731 0.4539  2 C 2.62, 2 Au 2.88
C 0.2500 0.7500 0.5000  8 Sc 2.62-2.63
C 0.0000 0.0000 0.0000  4 Sc 2.06
Au 0.6471 0.1471 0.7057  6 Sc 2.88-3.00, 1 Au 3.20
Au 0.8529 0.3529 0.2943  6 Sc 2.88-3.00, 1 Au 3.20

Results
Energy relative to the elements, kJ/mol of atoms: 12
ρ, kg/m³: 5451
Spin magnetization, μB per formula unit: 0.0



Entry 4:
VASP calculation (PBE) on an optimized crystal structure of Sc3AuC.

Cell lengths 7.6389, 4.6893, 5.8484 Å; angles 66.42, 105.26, 89.97 degrees
With the nearest neighbours (Å) after each atom.
Fractional coordinates of all 10 atoms:
Sc 0.1149 0.7599 0.1976  2 C 2.26-2.28
Sc 0.2761 0.0063 0.7044  1 C 2.24
Sc 0.7249 0.9294 0.8590  2 C 2.26-2.28
Sc 0.8495 0.2004 0.3168  3 C 2.31-2.35
Sc 0.9903 0.4889 0.7398  3 C 2.31-2.35
Sc 0.5637 0.6829 0.3522  1 C 2.24
Au 0.3216 0.2525 0.2123  6 Sc 2.76-3.02, 1 Au 2.80
Au 0.5182 0.4368 0.8443  6 Sc 2.76-3.02, 1 Au 2.80
C 0.9960 0.9790 0.7594  6 Sc 2.24-2.35
C 0.8438 0.7103 0.2972  6 Sc 2.24-2.35

Results
Energy relative to the elements, kJ/mol of atoms: -56
ρ, kg/m³: 6209
Spin magnetization, μB per formula unit: 0.0



Entry 5:
VASP calculation (PBE) on an optimized crystal structure of Sc3AuC.

Cell lengths 17.5152, 6.6024, 6.6024 Å; angles 150.51, 146.37, 33.63 degrees
With the nearest neighbours (Å) after each atom.
Fractional coordinates of all 10 atoms:
Sc 0.3776 0.3283 0.6717  3 C 2.33-2.36
Sc 0.1078 0.2608 0.7392  1 C 2.23
Sc 0.8922 0.7392 0.2608  1 C 2.23
Sc 0.6224 0.6717 0.3283  3 C 2.33-2.36
Sc 0.6467 0.4017 0.5983  2 C 2.24
Sc 0.3533 0.5983 0.4017  2 C 2.24
C 0.6420 0.0232 0.9768  6 Sc 2.23-2.36
C 0.3580 0.9768 0.0232  6 Sc 2.23-2.36
Au 0.8656 0.9962 0.0038  4 Sc 2.71-2.89
Au 0.1344 0.0038 0.9962  4 Sc 2.71-2.89

Results
Energy relative to the elements, kJ/mol of atoms: -46
ρ, kg/m³: 5973
Spin magnetization, μB per formula unit: 0.4



Entry 6:
VASP calculation (PBE) on an optimized crystal structure of Sc3AuC.

Cell lengths 12.1845, 8.1426, 8.1426 Å; angles 84.27, 126.45, 53.55 degrees
With the nearest neighbours (Å) after each atom.
Fractional coordinates of all 20 atoms:
Au 0.4013 0.8551 0.9886  5 Sc 2.81-2.95
Au 0.5987 0.1449 0.0114  5 Sc 2.81-2.95
Au 0.0987 0.4886 0.3551  5 Sc 2.81-2.95
Au 0.9013 0.5114 0.6449  5 Sc 2.81-2.95
C 0.7500 0.4625 0.9625  6 Sc 2.25-2.32
C 0.2500 0.8185 0.3185  6 Sc 2.25-2.30
C 0.2500 0.5375 0.0375  6 Sc 2.25-2.32
C 0.7500 0.1815 0.6815  6 Sc 2.25-2.30
Sc 0.4256 0.6465 0.7392  2 C 2.25
Sc 0.9256 0.7608 0.8535  2 C 2.25
Sc 0.5744 0.3535 0.2608  2 C 2.25
Sc 0.4308 0.1172 0.1803  1 C 2.26
Sc 0.4114 0.4037 0.4555  3 C 2.26-2.32
Sc 0.5886 0.5963 0.5445  3 C 2.26-2.32
Sc 0.0886 0.9555 0.9037  3 C 2.26-2.32
Sc 0.5692 0.8828 0.8197  1 C 2.26
Sc 0.9308 0.3197 0.3828  1 C 2.26
Sc 0.0692 0.6803 0.6172  1 C 2.26
Sc 0.0744 0.2392 0.1465  2 C 2.25
Sc 0.9114 0.0445 0.0963  3 C 2.26-2.32

Results
Energy relative to the elements, kJ/mol of atoms: -54
ρ, kg/m³: 6117
Spin magnetization, μB per formula unit: 0.0



Entry 7:
VASP calculation (PBE) on an optimized crystal structure of Sc3AuC.

Cell lengths 3.2857, 7.4851, 7.4851 Å; angles 129.52, 90.00, 90.00 degrees
With the nearest neighbours (Å) after each atom.
Fractional coordinates of all 5 atoms:
Sc 0.5000 0.2022 0.3343  2 C 2.23
Sc 0.5000 0.6657 0.7978  2 C 2.23
Sc 0.0000 0.2541 0.7459  1 C 2.17
Au 0.5000 0.0919 0.9081  4 Sc 2.74
C 0.0000 0.4142 0.5858  5 Sc 2.17-2.23

Results
Energy relative to the elements, kJ/mol of atoms: 5
ρ, kg/m³: 4021
Spin magnetization, μB per formula unit: 0.8



Entry 8:
VASP calculation (PBE) on an optimized crystal structure of ScAuC.

Cell lengths 3.3961, 9.1757, 3.6848 Å; angles 86.44, 117.40, 79.28 degrees
With the nearest neighbours (Å) after each atom.
Fractional coordinates of all 6 atoms:
Au 0.5488 0.7863 0.5341  3 Sc 2.83-2.98, 3 Au 2.89-2.92
Au 0.4017 0.5573 0.0116  3 Sc 2.83-2.98, 3 Au 2.89-2.92
Sc 0.2289 0.3317 0.4417  1 C 2.16
Sc 0.7216 0.0118 0.1039  1 C 2.16
C 0.0271 0.2144 0.9193  1 C 1.33
C 0.9234 0.1291 0.6263  1 C 1.33

Results
Energy relative to the elements, kJ/mol of atoms: -34
ρ, kg/m³: 8543
Spin magnetization, μB per formula unit: 0.0



Entry 9:
VASP calculation (PBE) on an optimized crystal structure of ScAu2C.

Cell lengths 5.0932, 5.0932, 7.1445 Å; angles 69.12, 69.12, 90.00 degrees
With the nearest neighbours (Å) after each atom.
Fractional coordinates of all 8 atoms:
Au 0.5055 0.1250 0.2500  2 C 2.11
Au 0.3750 0.4945 0.7500  2 C 2.11
Au 0.2445 0.6250 0.2500  2 C 2.11
Au 0.8750 0.7555 0.7500  2 C 2.11
C 0.2500 0.7500 0.5000  4 Au 2.11
C 0.5000 0.5000 0.0000  4 Au 2.11
Sc 0.0000 0.0000 0.0000  4 Au 2.75
Sc 0.7500 0.2500 0.5000  4 Au 2.75

Results
Energy relative to the elements, kJ/mol of atoms: 56
ρ, kg/m³: 9355
Spin magnetization, μB per formula unit: 0.0



Entry 10:
VASP calculation (PBE) on an optimized crystal structure of Sc3AuC.

Cell lengths 3.9524, 3.9524, 7.0844 Å; angles 90.00, 90.00, 90.00 degrees
With the nearest neighbours (Å) after each atom.
Fractional coordinates of all 5 atoms:
Sc 0.0000 0.5000 0.4112  2 C 2.30
Sc 0.5000 0.0000 0.4112  2 C 2.30
Sc 0.0000 0.0000 0.7390  1 Au 2.74, 4 C 3.02, 4 Sc 3.05
C 0.5000 0.5000 0.5767  4 Sc 2.30
Au 0.0000 0.0000 0.1256  5 Sc 2.74-2.83

Results
Energy relative to the elements, kJ/mol of atoms: 14
ρ, kg/m³: 5159
Spin magnetization, μB per formula unit: 0.2



Entry 11:
VASP calculation (PBE) on an optimized crystal structure of Sc3AuC.

Cell lengths 18.6529, 7.7822, 7.7822 Å; angles 152.11, 152.54, 27.46 degrees
With the nearest neighbours (Å) after each atom.
Fractional coordinates of all 10 atoms:
C 0.1330 0.0324 0.9676  4 Sc 2.14-2.21
C 0.8670 0.9676 0.0324  4 Sc 2.14-2.21
Au 0.6538 0.9655 0.0345  6 Sc 2.75-2.85
Au 0.3462 0.0345 0.9655  6 Sc 2.75-2.85
Sc 0.6076 0.2038 0.7962  1 C 2.14
Sc 0.0176 0.3130 0.6870  3 C 2.21-2.43
Sc 0.7456 0.2372 0.7628  1 C 2.20
Sc 0.2544 0.7628 0.2372  1 C 2.20
Sc 0.3924 0.7962 0.2038  1 C 2.14
Sc 0.9824 0.6870 0.3130  3 C 2.21-2.43

Results
Energy relative to the elements, kJ/mol of atoms: -33
ρ, kg/m³: 5335
Spin magnetization, μB per formula unit: 0.0



Entry 12:
VASP calculation (PBE) on an optimized crystal structure of ScAuC.

Cell lengths 4.0180, 7.3135, 3.5431 Å; angles 97.62, 103.70, 110.21 degrees
With the nearest neighbours (Å) after each atom.
Fractional coordinates of all 6 atoms:
Sc 0.4835 0.3361 0.4366  4 C 2.28-2.40
Sc 0.6273 0.0074 0.9785  4 C 2.28-2.40
C 0.1668 0.1206 0.7787  1 C 1.40
C 0.9440 0.2229 0.6364  1 C 1.40
Au 0.1907 0.5641 0.9715  1 C 2.36
Au 0.9201 0.7795 0.4436  1 C 2.36

Results
Energy relative to the elements, kJ/mol of atoms: -32
ρ, kg/m³: 9140
Spin magnetization, μB per formula unit: 0.0



Entry 13:
VASP calculation (PBE) on an optimized crystal structure of ScAuC.

Cell lengths 4.7828, 4.7828, 8.4775 Å; angles 90.00, 90.00, 120.00 degrees
With the nearest neighbours (Å) after each atom.
Fractional coordinates of all 6 atoms:
C 0.0000 0.0000 0.0000  2 Sc 2.12
C 0.0000 0.0000 0.5000  2 Sc 2.12
Sc 0.0000 0.0000 0.2500  2 C 2.12
Sc 0.0000 0.0000 0.7500  2 C 2.12
Au 0.3333 0.6667 0.2500  3 Sc 2.76
Au 0.6667 0.3333 0.7500  3 Sc 2.76

Results
Energy relative to the elements, kJ/mol of atoms: 139
ρ, kg/m³: 5021
Spin magnetization, μB per formula unit: 1.7



Entry 14:
VASP calculation (PBE) on an optimized crystal structure of Sc3AuC.

Cell lengths 6.1644, 6.1644, 6.4860 Å; angles 90.00, 90.00, 120.68 degrees
With the nearest neighbours (Å) after each atom.
Fractional coordinates of all 10 atoms:
Sc 0.0000 0.0000 0.0000  2 C 2.14
Sc 0.9856 0.5059 0.7500  1 C 2.04
Sc 0.5059 0.9856 0.2500  1 C 2.04
Sc 0.0000 0.0000 0.5000  2 C 2.14
Sc 0.4941 0.0144 0.7500  1 C 2.04
Sc 0.0144 0.4941 0.2500  1 C 2.04
C 0.8695 0.1305 0.7500  4 Sc 2.04-2.14
C 0.1305 0.8695 0.2500  4 Sc 2.04-2.14
Au 0.4903 0.5097 0.2500  2 Sc 2.89
Au 0.5097 0.4903 0.7500  2 Sc 2.89

Results
Energy relative to the elements, kJ/mol of atoms: 4
ρ, kg/m³: 5387
Spin magnetization, μB per formula unit: 0.0



Entry 15:
VASP calculation (PBE) on an optimized crystal structure of ScAuC.

Cell lengths 3.7244, 8.8092, 3.7244 Å; angles 86.26, 125.46, 93.74 degrees
With the nearest neighbours (Å) after each atom.
Fractional coordinates of all 6 atoms:
Sc 0.0209 0.3310 0.8388  1 C 2.15
Sc 0.7275 0.0126 0.1322  1 C 2.15
C 0.2952 0.2140 0.5644  1 C 1.33
C 0.4532 0.1295 0.4065  1 C 1.33
Au 0.0435 0.7855 0.8162  3 Sc 2.84-3.00, 3 Au 2.90
Au 0.7049 0.5580 0.1547  3 Sc 2.84-3.00, 3 Au 2.90

Results
Energy relative to the elements, kJ/mol of atoms: -34
ρ, kg/m³: 8496
Spin magnetization, μB per formula unit: 0.0



Entry 16:
VASP calculation (PBE) on an optimized crystal structure of Sc3AuC.

Cell lengths 6.2436, 6.3554, 5.5808 Å; angles 91.24, 100.60, 59.68 degrees
With the nearest neighbours (Å) after each atom.
Fractional coordinates of all 10 atoms:
Sc 0.7141 0.3986 0.7042  2 C 2.23-2.26
Sc 0.1707 0.8830 0.7980  2 C 2.20-2.25
Sc 0.9752 0.7616 0.2525  2 C 2.23-2.26
Sc 0.0468 0.1986 0.2759  2 C 2.23-2.25
Sc 0.6424 0.9616 0.6807  2 C 2.23-2.25
Sc 0.5186 0.2772 0.1587  2 C 2.20-2.25
Au 0.1596 0.4292 0.7087  6 Sc 2.85-3.01
Au 0.5297 0.7310 0.2479  6 Sc 2.85-3.01
C 0.8446 0.0801 0.9783  6 Sc 2.20-2.26
C 0.8446 0.0801 0.4783  6 Sc 2.23-2.25

Results
Energy relative to the elements, kJ/mol of atoms: -57
ρ, kg/m³: 6099
Spin magnetization, μB per formula unit: 0.0



Entry 17:
VASP calculation (PBE) on an optimized crystal structure of ScAuC3.

Cell lengths 4.2451, 4.2451, 4.2451 Å; angles 90.00, 90.00, 90.00 degrees
With the nearest neighbours (Å) after each atom.
Fractional coordinates of all 5 atoms:
Au 0.5000 0.5000 0.5000  12 C 3.00
C 0.0000 0.5000 0.0000  2 Sc 2.12
C 0.0000 0.0000 0.5000  2 Sc 2.12
C 0.5000 0.0000 0.0000  2 Sc 2.12
Sc 0.0000 0.0000 0.0000  6 C 2.12

Results
Energy relative to the elements, kJ/mol of atoms: 250
ρ, kg/m³: 6033
Spin magnetization, μB per formula unit: 0.0



Entry 18:
VASP calculation (PBE) on an optimized crystal structure of ScAuC.

Cell lengths 3.3879, 9.2997, 3.6269 Å; angles 96.09, 62.08, 100.50 degrees
With the nearest neighbours (Å) after each atom.
Fractional coordinates of all 6 atoms:
Sc 0.8072 0.0078 0.1514  3 C 2.18-2.37
Sc 0.8361 0.3457 0.4318  4 C 2.32-2.44
C 0.5626 0.1216 0.7556  1 C 1.33
C 0.4438 0.2131 0.0848  1 C 1.33
Au 0.0390 0.7842 0.4639  3 Sc 2.85-2.97, 3 Au 2.91-2.92
Au 0.2547 0.5583 0.8060  3 Sc 2.82-2.83, 3 Au 2.91-2.92

Results
Energy relative to the elements, kJ/mol of atoms: -29
ρ, kg/m³: 8497
Spin magnetization, μB per formula unit: 0.0



Entry 19:
VASP calculation (PBE) on an optimized crystal structure of Sc3AuC.

Cell lengths 6.5063, 8.6817, 7.0453 Å; angles 90.00, 90.00, 90.00 degrees
With the nearest neighbours (Å) after each atom.
Fractional coordinates of all 20 atoms:
Sc 0.6158 0.9255 0.6481  1 C 2.17
Sc 0.3036 0.2500 0.7840  2 C 2.25-2.28
Sc 0.1158 0.9255 0.8519  1 C 2.17
Sc 0.3842 0.4255 0.3519  1 C 2.17
Sc 0.8036 0.2500 0.7160  2 C 2.25-2.28
Sc 0.8842 0.4255 0.1481  1 C 2.17
Sc 0.6964 0.7500 0.2160  2 C 2.25-2.28
Sc 0.6158 0.5745 0.6481  1 C 2.17
Sc 0.1158 0.5745 0.8519  1 C 2.17
Sc 0.3842 0.0745 0.3519  1 C 2.17
Sc 0.8842 0.0745 0.1481  1 C 2.17
Sc 0.1964 0.7500 0.2840  2 C 2.25-2.28
C 0.0218 0.2500 0.9687  4 Sc 2.17-2.28
C 0.9782 0.7500 0.0313  4 Sc 2.17-2.28
C 0.5218 0.2500 0.5313  4 Sc 2.17-2.28
C 0.4782 0.7500 0.4687  4 Sc 2.17-2.28
Au 0.5000 0.5000 0.0000  6 Sc 2.67-2.94
Au 0.0000 0.5000 0.5000  6 Sc 2.67-2.94
Au 0.0000 0.0000 0.5000  6 Sc 2.67-2.94
Au 0.5000 0.0000 0.0000  6 Sc 2.67-2.94

Results
Energy relative to the elements, kJ/mol of atoms: -18
ρ, kg/m³: 5739
Spin magnetization, μB per formula unit: 0.0



Entry 20:
VASP calculation (PBE) on an optimized crystal structure of ScAuC.

Cell lengths 3.8391, 3.8391, 7.6372 Å; angles 90.00, 90.00, 120.00 degrees
With the nearest neighbours (Å) after each atom.
Fractional coordinates of all 6 atoms:
C 0.3333 0.6667 0.7500  3 Sc 2.22
C 0.6667 0.3333 0.2500  3 Sc 2.22
Sc 0.6667 0.3333 0.7500  3 C 2.22
Sc 0.3333 0.6667 0.2500  3 C 2.22
Au 0.0000 0.0000 0.0000  6 Sc 2.93, 6 C 2.93
Au 0.0000 0.0000 0.5000  6 Sc 2.93, 6 C 2.93

Results
Energy relative to the elements, kJ/mol of atoms: 43
ρ, kg/m³: 8651
Spin magnetization, μB per formula unit: 0.0